Here is crystalline BaFe2TcGe at its relaxed geometry from Alexandria. Energies are from PBE-GGA.

The structure belongs to space group P4/mmm (No. 123); the cell edges are 4.9374, 4.9374 and 5.1463 Å and the angles 90.00°, 90.00° and 90.00°. The inequivalent atoms are Ba at (0.0000, 0.0000, 0.0000), Fe at (0.0000, 0.5000, 0.0000), Tc at (0.0000, 0.0000, 0.5000) and Ge at (0.5000, 0.5000, 0.5000).

Its energy of formation is 2.493 eV per atom. The value obtained for the energy is -0.1571 hartree per atom. The mass density is 5.6 g cm⁻³. The volume comes out at 125.5 Å³/f.u. The distance to the lowest polymorph of the same formula is 1692 meV per atom.

***

Here is crystalline BaFe2TcGe at its relaxed geometry from Alexandria. Energies are from PBE-GGA.

The structure belongs to space group P4/mmm (No. 123); the cell edges are 4.6340, 4.6340 and 4.7862 Å and the angles 90.00°, 90.00° and 90.00°. The inequivalent atoms are Ba at (0.0000, 0.0000, 0.0000), Fe at (0.0000, 0.5000, 0.5000), Tc at (0.5000, 0.5000, 0.0000) and Ge at (0.5000, 0.5000, 0.5000).

Its energy of formation is 0.801 eV per atom. The value obtained for the energy is -0.2192 hartree per atom. The mass density is 6.8 g cm⁻³. The volume comes out at 102.8 Å³/f.u. The distance to the lowest polymorph of the same formula is 0 meV per atom.

***

Here is crystalline Ba2FeGeTe at its relaxed geometry from Alexandria. Energies are from PBE-GGA.

The structure belongs to space group P4/mmm (No. 123); the cell edges are 5.9523, 5.9523 and 4.5388 Å and the angles 90.00°, 90.00° and 90.00°. The inequivalent atoms are Ba at (0.0000, 0.5000, 0.0000), Fe at (0.0000, 0.0000, 0.0000), Ge at (0.0000, 0.0000, 0.5000) and Te at (0.5000, 0.5000, 0.5000).

The value obtained for the energy is -0.1651 hartree per atom. The mass density is 5.5 g cm⁻³. The volume comes out at 160.8 Å³/f.u. The value obtained for the uncorrected formation energy is -0.48 eV per atom.

***

Here is crystalline BaTiFeGe2 at its relaxed geometry from Alexandria. Energies are from PBE-GGA.

The structure belongs to space group P4/mmm (No. 123); the cell edges are 4.9703, 4.9703 and 5.7712 Å and the angles 90.00°, 90.00° and 90.00°. The inequivalent atoms are Ba at (0.0000, 0.0000, 0.0000), Ti at (0.0000, 0.0000, 0.5000), Fe at (0.5000, 0.5000, 0.0000) and Ge at (0.0000, 0.5000, 0.5000).

Its energy of formation is 0.773 eV per atom. The value obtained for the energy is -0.1738 hartree per atom. The mass density is 4.5 g cm⁻³. The volume comes out at 142.6 Å³/f.u.

***

Here is crystalline BaZnFeGe2 at its relaxed geometry from Alexandria. Energies are from PBE-GGA.

The structure belongs to space group P4/mmm (No. 123); the cell edges are 4.6711, 4.6711 and 4.8601 Å and the angles 90.00°, 90.00° and 90.00°. The inequivalent atoms are Ba at (0.0000, 0.0000, 0.0000), Zn at (0.5000, 0.5000, 0.0000), Fe at (0.5000, 0.5000, 0.5000) and Ge at (0.0000, 0.5000, 0.5000).

Its energy of formation is -0.209 eV per atom. The value obtained for the energy is -0.1613 hartree per atom. The mass density is 6.3 g cm⁻³. The volume comes out at 106.0 Å³/f.u.

***

Here is crystalline BaFeH5 at its relaxed geometry from Alexandria. Energies are from PBE-GGA.

The structure belongs to space group Immm (No. 71); the cell edges are 3.7383, 5.7490 and 7.3396 Å and the angles 90.00°, 90.00° and 90.00°. The inequivalent atoms are Ba at (0.0000, 0.0000, 0.0000), Fe at (0.0000, 0.0000, 0.5000), H at (0.0000, 0.2025, 0.3505) and H at (0.0000, 0.5000, 0.0000).

The value obtained for the energy is -0.1467 hartree per atom. The mass density is 4.2 g cm⁻³. The volume comes out at 78.9 Å³/f.u.

***

Here is crystalline BaFe2H at its relaxed geometry from Alexandria. Energies are from PBE-GGA.

The structure belongs to space group Fd-3m (No. 227, origin choice 2); the cell edges are 7.9969, 7.9969 and 7.9969 Å and the angles 90.00°, 90.00° and 90.00°. The inequivalent atoms are Ba at (0.1250, 0.1250, 0.1250), Fe at (0.0000, 0.0000, 0.5000) and H at (0.1250, 0.1250, 0.6250).

The value obtained for the energy is -0.1894 hartree per atom. The mass density is 6.5 g cm⁻³. The volume comes out at 63.9 Å³/f.u. The distance to the lowest polymorph of the same formula is 0 meV per atom.

***

Here is crystalline BaFe2H7 at its relaxed geometry from Alexandria. Energies are from PBE-GGA.

The structure belongs to space group Cmmm (No. 65); the cell edges are 4.9929, 9.3520 and 3.6503 Å and the angles 90.00°, 90.00° and 90.00°. The inequivalent atoms are Ba at (0.0000, 0.0000, 0.0000), Fe at (0.0000, 0.3121, 0.5000), H at (0.0000, 0.3215, 0.0000), H at (0.0000, 0.5000, 0.5000) and H at (0.1793, 0.1617, 0.5000).

The value obtained for the energy is -0.1581 hartree per atom. The mass density is 5.0 g cm⁻³. The volume comes out at 85.2 Å³/f.u.

***

Here is crystalline BaFe2H at its relaxed geometry from Alexandria. Energies are from PBE-GGA.

The structure belongs to space group Fm-3m (No. 225); the cell edges are 6.8169, 6.8169 and 6.8169 Å and the angles 90.00°, 90.00° and 90.00°. The inequivalent atoms are Ba at (0.0000, 0.0000, 0.0000), Fe at (0.2500, 0.2500, 0.2500) and H at (0.0000, 0.0000, 0.5000).

The value obtained for the energy is -0.1468 hartree per atom. The mass density is 5.2 g cm⁻³. The volume comes out at 79.2 Å³/f.u. The distance to the lowest polymorph of the same formula is 1160 meV per atom.

***

Here is crystalline BaFeH2 at its relaxed geometry from Alexandria. Energies are from PBE-GGA.

The structure belongs to space group Fm-3m (No. 225); the cell edges are 6.2268, 6.2268 and 6.2268 Å and the angles 90.00°, 90.00° and 90.00°. The inequivalent atoms are Ba at (0.0000, 0.0000, 0.0000), Fe at (0.0000, 0.0000, 0.5000) and H at (0.2500, 0.2500, 0.2500).

The value obtained for the energy is -0.1240 hartree per atom. The mass density is 5.4 g cm⁻³. The volume comes out at 60.4 Å³/f.u. The distance to the lowest polymorph of the same formula is 822 meV per atom.

***

Here is crystalline Ba2FeH at its relaxed geometry from Alexandria. Energies are from PBE-GGA.

The structure belongs to space group Fm-3m (No. 225); the cell edges are 7.5952, 7.5952 and 7.5952 Å and the angles 90.00°, 90.00° and 90.00°. The inequivalent atoms are Ba at (0.2500, 0.2500, 0.2500), Fe at (0.0000, 0.0000, 0.0000) and H at (0.0000, 0.0000, 0.5000).

The value obtained for the energy is -0.1230 hartree per atom. The mass density is 5.0 g cm⁻³. The volume comes out at 109.5 Å³/f.u. The distance to the lowest polymorph of the same formula is 140 meV per atom.

***

Here is crystalline Ba3FeH at its relaxed geometry from Alexandria. Energies are from PBE-GGA.

The structure belongs to space group Pm-3m (No. 221); the cell edges are 5.5663, 5.5663 and 5.5663 Å and the angles 90.00°, 90.00° and 90.00°. The inequivalent atoms are Ba at (0.0000, 0.0000, 0.5000), Fe at (0.5000, 0.5000, 0.5000) and H at (0.0000, 0.0000, 0.0000).

The value obtained for the energy is -0.1167 hartree per atom. The mass density is 4.5 g cm⁻³. The volume comes out at 172.5 Å³/f.u. The distance to the lowest polymorph of the same formula is 0 meV per atom.

***

Which value of mass density does entry 1 give? 5.6 g cm⁻³